Entry A
A geometry-optimized Nb2FeF structure. Source: Alexandria via LeMat-Bulk, functional PBE+U.

CIF file:
```
data_Nb2FeF
_chemical_formula_sum 'Nb8 Fe4 F4'
_symmetry_space_group_name_H-M 'I -4 2 d'
_symmetry_Int_Tables_number 122
_symmetry_space_group_name_Hall 'I -4 2bw'
_cell_length_a 4.671
_cell_length_b 4.671
_cell_length_c 12.241
_cell_angle_alpha 90.00
_cell_angle_beta 90.00
_cell_angle_gamma 90.00
loop_
_atom_site_label
_atom_site_type_symbol
_atom_site_fract_x
_atom_site_fract_y
_atom_site_fract_z
Nb1 Nb 0.227 0.250 0.125
Fe1 Fe 0.000 0.000 0.500
F1 F 0.000 0.000 0.000
```

Entry B
A geometry-optimized Nb2FeF structure. Source: Alexandria via LeMat-Bulk, functional PBE+U.

CIF file:
```
data_Nb2FeF
_chemical_formula_sum 'Nb8 Fe4 F4'
_symmetry_space_group_name_H-M 'F m -3 m'
_symmetry_Int_Tables_number 225
_symmetry_space_group_name_Hall '-F 4 2 3'
_cell_length_a 6.212
_cell_length_b 6.212
_cell_length_c 6.212
_cell_angle_alpha 90.00
_cell_angle_beta 90.00
_cell_angle_gamma 90.00
loop_
_atom_site_label
_atom_site_type_symbol
_atom_site_fract_x
_atom_site_fract_y
_atom_site_fract_z
Nb1 Nb 0.250 0.250 0.250
Fe1 Fe 0.000 0.000 0.000
F1 F 0.000 0.000 0.500
```

Bottom line: entry B, by a margin of 51.0 kJ/mol of atoms.

Entry A
A geometry-optimized NbFeOF2 structure. Source: Alexandria via LeMat-Bulk, functional PBE+U.

CIF file:
```
data_NbFeOF2
_chemical_formula_sum 'Nb1 Fe1 O1 F2'
_symmetry_space_group_name_H-M 'P 4/m m m'
_symmetry_Int_Tables_number 123
_symmetry_space_group_name_Hall '-P 4 2'
_cell_length_a 4.329
_cell_length_b 4.329
_cell_length_c 3.959
_cell_angle_alpha 90.00
_cell_angle_beta 90.00
_cell_angle_gamma 90.00
loop_
_atom_site_label
_atom_site_type_symbol
_atom_site_fract_x
_atom_site_fract_y
_atom_site_fract_z
Nb1 Nb 0.000 0.000 0.000
Fe1 Fe 0.500 0.500 0.500
O1 O 0.000 0.000 0.500
F1 F 0.000 0.500 0.000
```

Entry B
A geometry-optimized NbFeOF2 structure. Source: Alexandria via LeMat-Bulk, functional PBE+U.

CIF file:
```
data_NbFeOF2
_chemical_formula_sum 'Nb1 Fe1 O1 F2'
_symmetry_space_group_name_H-M 'P 4/m m m'
_symmetry_Int_Tables_number 123
_symmetry_space_group_name_Hall '-P 4 2'
_cell_length_a 3.994
_cell_length_b 3.994
_cell_length_c 4.117
_cell_angle_alpha 90.00
_cell_angle_beta 90.00
_cell_angle_gamma 90.00
loop_
_atom_site_label
_atom_site_type_symbol
_atom_site_fract_x
_atom_site_fract_y
_atom_site_fract_z
Nb1 Nb 0.000 0.000 0.000
Fe1 Fe 0.500 0.500 0.500
O1 O 0.500 0.500 0.000
F1 F 0.000 0.500 0.500
```

Bottom line: entry A, by a margin of 34.6 kJ/mol of atoms.

Entry A
A geometry-optimized FeNi2F2 structure. Source: Alexandria via LeMat-Bulk, functional PBE+U.

CIF file:
```
data_FeNi2F2
_chemical_formula_sum 'Fe2 Ni4 F4'
_symmetry_space_group_name_H-M 'I 4/m m m'
_symmetry_Int_Tables_number 139
_symmetry_space_group_name_Hall '-I 4 2'
_cell_length_a 3.037
_cell_length_b 3.037
_cell_length_c 16.210
_cell_angle_alpha 90.00
_cell_angle_beta 90.00
_cell_angle_gamma 90.00
loop_
_atom_site_label
_atom_site_type_symbol
_atom_site_fract_x
_atom_site_fract_y
_atom_site_fract_z
Fe1 Fe 0.000 0.000 0.000
Ni1 Ni 0.000 0.500 0.250
F1 F 0.000 0.000 0.429
```

Entry B
A geometry-optimized FeNi2F2 structure. Source: Alexandria via LeMat-Bulk, functional PBE+U.

CIF file:
```
data_FeNi2F2
_chemical_formula_sum 'Fe2 Ni4 F4'
_symmetry_space_group_name_H-M 'P 4/m b m'
_symmetry_Int_Tables_number 127
_symmetry_space_group_name_Hall '-P 4 2ab'
_cell_length_a 6.622
_cell_length_b 6.622
_cell_length_c 2.771
_cell_angle_alpha 90.00
_cell_angle_beta 90.00
_cell_angle_gamma 90.00
loop_
_atom_site_label
_atom_site_type_symbol
_atom_site_fract_x
_atom_site_fract_y
_atom_site_fract_z
Fe1 Fe 0.000 0.000 0.000
Ni1 Ni 0.171 0.329 0.500
F1 F 0.136 0.636 0.000
```

Bottom line: entry B, by a margin of 4.1 kJ/mol of atoms.

Entry A
A geometry-optimized FeNiF2 structure. Source: Alexandria via LeMat-Bulk, functional PBE+U.

CIF file:
```
data_FeNiF2
_chemical_formula_sum 'Fe4 Ni4 F8'
_symmetry_space_group_name_H-M 'I -4 2 d'
_symmetry_Int_Tables_number 122
_symmetry_space_group_name_Hall 'I -4 2bw'
_cell_length_a 5.086
_cell_length_b 5.086
_cell_length_c 10.038
_cell_angle_alpha 90.00
_cell_angle_beta 90.00
_cell_angle_gamma 90.00
loop_
_atom_site_label
_atom_site_type_symbol
_atom_site_fract_x
_atom_site_fract_y
_atom_site_fract_z
Fe1 Fe 0.000 0.000 0.000
Ni1 Ni 0.000 0.000 0.500
F1 F 0.189 0.250 0.125
```

Entry B
A geometry-optimized FeNiF2 structure. Source: Alexandria via LeMat-Bulk, functional PBE+U.

CIF file:
```
data_FeNiF2
_chemical_formula_sum 'Fe3 Ni3 F6'
_symmetry_space_group_name_H-M 'R -3 m'
_symmetry_Int_Tables_number 166
_symmetry_space_group_name_Hall '-R 3 2"'
_cell_length_a 3.0059
_cell_length_b 3.0059
_cell_length_c 22.7421
_cell_angle_alpha 90.00
_cell_angle_beta 90.00
_cell_angle_gamma 120.00
loop_
_atom_site_label
_atom_site_type_symbol
_atom_site_fract_x
_atom_site_fract_y
_atom_site_fract_z
Fe1 Fe 0.0000 0.0000 0.0000
Ni1 Ni 0.0000 0.0000 0.5000
F1 F 0.0000 0.0000 0.1202
```

Entry C
A geometry-optimized FeNiF2 structure. Source: Alexandria via LeMat-Bulk, functional PBE+U.

CIF file:
```
data_FeNiF2
_chemical_formula_sum 'Fe4 Ni4 F8'
_symmetry_space_group_name_H-M 'F m -3 m'
_symmetry_Int_Tables_number 225
_symmetry_space_group_name_Hall '-F 4 2 3'
_cell_length_a 5.653
_cell_length_b 5.653
_cell_length_c 5.653
_cell_angle_alpha 90.00
_cell_angle_beta 90.00
_cell_angle_gamma 90.00
loop_
_atom_site_label
_atom_site_type_symbol
_atom_site_fract_x
_atom_site_fract_y
_atom_site_fract_z
Fe1 Fe 0.000 0.000 0.000
Ni1 Ni 0.000 0.000 0.500
F1 F 0.250 0.250 0.250
```

Entry D
A geometry-optimized FeNiF2 structure. Source: Alexandria via LeMat-Bulk, functional PBE+U.

CIF file:
```
data_FeNiF2
_chemical_formula_sum 'Fe3 Ni3 F6'
_symmetry_space_group_name_H-M 'R -3 m'
_symmetry_Int_Tables_number 166
_symmetry_space_group_name_Hall '-R 3 2"'
_cell_length_a 3.0081
_cell_length_b 3.0081
_cell_length_c 20.5729
_cell_angle_alpha 90.00
_cell_angle_beta 90.00
_cell_angle_gamma 120.00
loop_
_atom_site_label
_atom_site_type_symbol
_atom_site_fract_x
_atom_site_fract_y
_atom_site_fract_z
Fe1 Fe 0.0000 0.0000 0.0000
Ni1 Ni 0.0000 0.0000 0.5000
F1 F 0.0000 0.0000 0.3926
```

Bottom line: entry D, by a margin of 2.5 kJ/mol of atoms.

Entry A
A geometry-optimized Fe2OF structure. Source: Alexandria via LeMat-Bulk, functional PBE+U.

CIF file:
```
data_Fe2OF
_chemical_formula_sum 'Fe8 O4 F4'
_symmetry_space_group_name_H-M 'I -4 2 d'
_symmetry_Int_Tables_number 122
_symmetry_space_group_name_Hall 'I -4 2bw'
_cell_length_a 4.764
_cell_length_b 4.764
_cell_length_c 10.477
_cell_angle_alpha 90.00
_cell_angle_beta 90.00
_cell_angle_gamma 90.00
loop_
_atom_site_label
_atom_site_type_symbol
_atom_site_fract_x
_atom_site_fract_y
_atom_site_fract_z
Fe1 Fe 0.199 0.250 0.125
O1 O 0.000 0.000 0.000
F1 F 0.000 0.000 0.500
```

Entry B
A geometry-optimized Fe2OF structure. Source: Alexandria via LeMat-Bulk, functional PBE+U.

CIF file:
```
data_Fe2OF
_chemical_formula_sum 'Fe8 O4 F4'
_symmetry_space_group_name_H-M 'F m -3 m'
_symmetry_Int_Tables_number 225
_symmetry_space_group_name_Hall '-F 4 2 3'
_cell_length_a 5.457
_cell_length_b 5.457
_cell_length_c 5.457
_cell_angle_alpha 90.00
_cell_angle_beta 90.00
_cell_angle_gamma 90.00
loop_
_atom_site_label
_atom_site_type_symbol
_atom_site_fract_x
_atom_site_fract_y
_atom_site_fract_z
Fe1 Fe 0.250 0.250 0.250
O1 O 0.000 0.000 0.000
F1 F 0.000 0.000 0.500
```

Bottom line: entry A, by a margin of 29.6 kJ/mol of atoms.

Entry A
A geometry-optimized Fe10O9F11 structure. Source: Alexandria via LeMat-Bulk, functional PBE+U.

CIF file:
```
data_Fe10O9F11
_chemical_formula_sum 'Fe10 O9 F11'
_symmetry_space_group_name_H-M 'P 1 m 1'
_symmetry_Int_Tables_number 6
_symmetry_space_group_name_Hall 'P -2y'
_cell_length_a 4.731
_cell_length_b 15.440
_cell_length_c 4.733
_cell_angle_alpha 90.00
_cell_angle_beta 95.29
_cell_angle_gamma 90.00
loop_
_atom_site_label
_atom_site_type_symbol
_atom_site_fract_x
_atom_site_fract_y
_atom_site_fract_z
Fe1 Fe 0.000 0.000 0.000
Fe2 Fe 0.016 0.401 0.969
Fe3 Fe 0.018 0.208 0.965
Fe4 Fe 0.497 0.096 0.423
Fe5 Fe 0.513 0.298 0.469
Fe6 Fe 0.517 0.500 0.468
O1 O 0.194 0.114 0.147
O2 O 0.216 0.302 0.165
O3 O 0.218 0.500 0.170
O4 O 0.687 0.000 0.273
O5 O 0.815 0.500 0.768
O6 O 0.820 0.301 0.771
F1 F 0.307 0.000 0.648
F2 F 0.319 0.201 0.656
F3 F 0.325 0.399 0.661
F4 F 0.708 0.202 0.270
F5 F 0.709 0.398 0.278
F6 F 0.798 0.112 0.754
```

Entry B
A geometry-optimized Fe10O9F11 structure. Source: Alexandria via LeMat-Bulk, functional PBE+U.

CIF file:
```
data_Fe10O9F11
_chemical_formula_sum 'Fe10 O9 F11'
_symmetry_space_group_name_H-M 'P 1'
_symmetry_Int_Tables_number 1
_symmetry_space_group_name_Hall 'P 1'
_cell_length_a 4.725
_cell_length_b 4.726
_cell_length_c 15.416
_cell_angle_alpha 89.95
_cell_angle_beta 89.55
_cell_angle_gamma 86.89
loop_
_atom_site_label
_atom_site_type_symbol
_atom_site_fract_x
_atom_site_fract_y
_atom_site_fract_z
Fe1 Fe 0.000 0.000 0.000
Fe2 Fe 0.003 0.986 0.606
Fe3 Fe 0.027 0.050 0.792
Fe4 Fe 0.043 0.017 0.398
Fe5 Fe 0.050 0.016 0.210
Fe6 Fe 0.506 0.563 0.510
Fe7 Fe 0.509 0.572 0.097
Fe8 Fe 0.533 0.537 0.699
Fe9 Fe 0.541 0.513 0.303
Fe10 Fe 0.576 0.511 0.904
O1 O 0.206 0.839 0.504
O2 O 0.208 0.850 0.100
O3 O 0.230 0.822 0.705
O4 O 0.240 0.823 0.302
O5 O 0.706 0.716 0.605
O6 O 0.717 0.719 0.998
O7 O 0.821 0.236 0.701
O8 O 0.846 0.214 0.301
O9 O 0.852 0.211 0.899
F1 F 0.237 0.814 0.899
F2 F 0.323 0.332 0.604
F3 F 0.327 0.329 0.413
F4 F 0.327 0.335 0.189
F5 F 0.330 0.331 0.998
F6 F 0.349 0.340 0.803
F7 F 0.728 0.729 0.412
F8 F 0.730 0.725 0.803
F9 F 0.730 0.734 0.192
F10 F 0.811 0.237 0.098
F11 F 0.812 0.230 0.503
```

Entry C
A geometry-optimized Fe10O9F11 structure. Source: Alexandria via LeMat-Bulk, functional PBE+U.

CIF file:
```
data_Fe10O9F11
_chemical_formula_sum 'Fe10 O9 F11'
_symmetry_space_group_name_H-M 'P 1 m 1'
_symmetry_Int_Tables_number 6
_symmetry_space_group_name_Hall 'P -2y'
_cell_length_a 4.594
_cell_length_b 15.332
_cell_length_c 4.616
_cell_angle_alpha 90.00
_cell_angle_beta 92.28
_cell_angle_gamma 90.00
loop_
_atom_site_label
_atom_site_type_symbol
_atom_site_fract_x
_atom_site_fract_y
_atom_site_fract_z
Fe1 Fe 0.000 0.000 0.000
Fe2 Fe 0.002 0.200 0.005
Fe3 Fe 0.031 0.402 0.974
Fe4 Fe 0.502 0.293 0.442
Fe5 Fe 0.511 0.100 0.429
Fe6 Fe 0.527 0.500 0.470
O1 O 0.186 0.100 0.164
O2 O 0.212 0.296 0.161
O3 O 0.235 0.500 0.176
O4 O 0.702 0.200 0.275
O5 O 0.710 0.000 0.273
O6 O 0.822 0.500 0.762
F1 F 0.299 0.000 0.678
F2 F 0.304 0.197 0.668
F3 F 0.333 0.394 0.646
F4 F 0.704 0.396 0.277
F5 F 0.799 0.100 0.786
F6 F 0.806 0.296 0.766
```

Entry D
A geometry-optimized Fe10O9F11 structure. Source: Alexandria via LeMat-Bulk, functional PBE+U.

CIF file:
```
data_Fe10O9F11
_chemical_formula_sum 'Fe10 O9 F11'
_symmetry_space_group_name_H-M 'P 1 m 1'
_symmetry_Int_Tables_number 6
_symmetry_space_group_name_Hall 'P -2y'
_cell_length_a 4.605
_cell_length_b 15.315
_cell_length_c 4.661
_cell_angle_alpha 90.00
_cell_angle_beta 91.32
_cell_angle_gamma 90.00
loop_
_atom_site_label
_atom_site_type_symbol
_atom_site_fract_x
_atom_site_fract_y
_atom_site_fract_z
Fe1 Fe 0.000 0.000 0.000
Fe2 Fe 0.034 0.405 0.975
Fe3 Fe 0.497 0.290 0.434
Fe4 Fe 0.531 0.500 0.473
Fe5 Fe 0.569 0.099 0.491
Fe6 Fe 0.997 0.199 0.996
O1 O 0.206 0.294 0.150
O2 O 0.230 0.500 0.165
O3 O 0.710 0.199 0.284
O4 O 0.729 0.000 0.298
O5 O 0.830 0.099 0.815
O6 O 0.832 0.500 0.777
F1 F 0.215 0.098 0.192
F2 F 0.303 0.195 0.671
F3 F 0.311 0.386 0.643
F4 F 0.320 0.000 0.690
F5 F 0.711 0.388 0.260
F6 F 0.795 0.295 0.762
```

Bottom line: entry B, by a margin of 9.6 kJ/mol of atoms.